! PBE-GGA AlPt3, relaxed; values from VASP
! * calculated volume: 15.36 Å³ per atom
! * formation energy from the elements: -501 meV per atom
&SYSTEM
  ibrav = 0, nat = 4, ntyp = 2
/
ATOMIC_SPECIES
Al 26.98 Al.upf
Pt 195.08 Pt.upf
ATOMIC_POSITIONS crystal
Al 0.0000 0.0000 0.0000
Pt 0.0000 0.0000 0.5000
Pt 0.6667 0.3333 0.2224
Pt 0.6667 0.3333 0.7776
CELL_PARAMETERS angstrom
2.8641 0.0000 0.0000
-1.4320 2.4803 0.0000
0.0000 0.0000 8.6469

=====

! PBE-GGA AlPt, relaxed; values from VASP
! * calculated volume: 15.48 Å³ per atom
! * formation energy from the elements: -527 meV per atom
&SYSTEM
  ibrav = 0, nat = 4, ntyp = 2
/
ATOMIC_SPECIES
Al 26.98 Al.upf
Pt 195.08 Pt.upf
ATOMIC_POSITIONS crystal
Al 0.1236 0.1236 0.1236
Al 0.8764 0.8764 0.8764
Pt 0.3810 0.3810 0.3810
Pt 0.6190 0.6190 0.6190
CELL_PARAMETERS angstrom
1.4510 0.8377 8.4889
-1.4510 0.8377 8.4889
0.0000 -1.6754 8.4889

=====

! PBE-GGA AlPt, relaxed; values from VASP
! * calculated volume: 16.89 Å³ per atom
! * formation energy from the elements: -631 meV per atom
&SYSTEM
  ibrav = 0, nat = 2, ntyp = 2
/
ATOMIC_SPECIES
Al 26.98 Al.upf
Pt 195.08 Pt.upf
ATOMIC_POSITIONS crystal
Al 0.0000 0.0000 0.0000
Pt 0.5000 0.5000 0.5000
CELL_PARAMETERS angstrom
0.0000 2.5656 2.5656
2.5656 0.0000 2.5656
2.5656 2.5656 0.0000

=====

! PBE-GGA Al2Pt, relaxed; values from VASP
! * calculated volume: 15.13 Å³ per atom
! * formation energy from the elements: -684 meV per atom
&SYSTEM
  ibrav = 0, nat = 6, ntyp = 2
/
ATOMIC_SPECIES
Al 26.98 Al.upf
Pt 195.08 Pt.upf
ATOMIC_POSITIONS crystal
Al 0.0728 0.9272 0.7500
Al 0.2517 0.7483 0.2500
Al 0.7483 0.2517 0.7500
Al 0.9272 0.0728 0.2500
Pt 0.3962 0.6038 0.7500
Pt 0.6038 0.3962 0.2500
CELL_PARAMETERS angstrom
1.8902 -6.0339 0.0000
1.8902 6.0339 0.0000
0.0000 0.0000 3.9800

=====

! PBE-GGA AlPt, relaxed; values from VASP
! * calculated volume: 16.95 Å³ per atom
! * formation energy from the elements: -658 meV per atom
&SYSTEM
  ibrav = 0, nat = 4, ntyp = 2
/
ATOMIC_SPECIES
Al 26.98 Al.upf
Pt 195.08 Pt.upf
ATOMIC_POSITIONS crystal
Al 0.2161 0.2161 0.2161
Al 0.7839 0.7839 0.7839
Pt 0.3985 0.3985 0.3985
Pt 0.6015 0.6015 0.6015
CELL_PARAMETERS angstrom
2.0599 1.1893 4.6134
-2.0599 1.1893 4.6134
0.0000 -2.3786 4.6134

=====

! PBE-GGA AlPt3, relaxed; values from VASP
! * calculated volume: 15.22 Å³ per atom
! * formation energy from the elements: -562 meV per atom
&SYSTEM
  ibrav = 0, nat = 4, ntyp = 2
/
ATOMIC_SPECIES
Al 26.98 Al.upf
Pt 195.08 Pt.upf
ATOMIC_POSITIONS crystal
Al 0.0000 0.0000 0.0000
Pt 0.2587 0.2587 0.2587
Pt 0.5000 0.5000 0.5000
Pt 0.7413 0.7413 0.7413
CELL_PARAMETERS angstrom
1.4209 0.8203 8.7072
-1.4209 0.8203 8.7072
0.0000 -1.6407 8.7072

=====

! PBE-GGA AlPt, relaxed; values from VASP
! * calculated volume: 17.34 Å³ per atom
! * formation energy from the elements: -819 meV per atom
&SYSTEM
  ibrav = 0, nat = 4, ntyp = 2
/
ATOMIC_SPECIES
Al 26.98 Al.upf
Pt 195.08 Pt.upf
ATOMIC_POSITIONS crystal
Al 0.1070 0.1070 0.1070
Al 0.8930 0.8930 0.8930
Pt 0.2846 0.2846 0.2846
Pt 0.7154 0.7154 0.7154
CELL_PARAMETERS angstrom
2.0756 1.1984 4.6484
-2.0756 1.1984 4.6484
0.0000 -2.3967 4.6484

=====

! PBE-GGA Al3Pt4, relaxed; values from VASP
! * calculated volume: 19.22 Å³ per atom
! * formation energy from the elements: -463 meV per atom
! * offset from the most stable computed form: 324 meV per atom
&SYSTEM
  ibrav = 0, nat = 7, ntyp = 2
/
ATOMIC_SPECIES
Al 26.98 Al.upf
Pt 195.08 Pt.upf
ATOMIC_POSITIONS crystal
Al 0.0000 0.0000 0.5000
Al 0.0000 0.5000 0.0000
Al 0.5000 0.0000 0.0000
Pt 0.3058 0.3058 0.3058
Pt 0.3058 0.6942 0.6942
Pt 0.6942 0.3058 0.6942
Pt 0.6942 0.6942 0.3058
CELL_PARAMETERS angstrom
5.1244 0.0000 0.0000
0.0000 5.1244 0.0000
0.0000 0.0000 5.1244

=====

! PBE-GGA AlPt, relaxed; values from VASP
! * calculated volume: 16.99 Å³ per atom
! * formation energy from the elements: -772 meV per atom
&SYSTEM
  ibrav = 0, nat = 12, ntyp = 2
/
ATOMIC_SPECIES
Al 26.98 Al.upf
Pt 195.08 Pt.upf
ATOMIC_POSITIONS crystal
Al 0.0725 0.3020 0.2500
Al 0.2295 0.9275 0.2500
Al 0.3020 0.2295 0.7500
Al 0.6980 0.7705 0.2500
Al 0.7705 0.0725 0.7500
Al 0.9275 0.6980 0.7500
Pt 0.0955 0.4433 0.7500
Pt 0.3478 0.9045 0.7500
Pt 0.4433 0.3478 0.2500
Pt 0.5567 0.6522 0.7500
Pt 0.6522 0.0955 0.2500
Pt 0.9045 0.5567 0.2500
CELL_PARAMETERS angstrom
7.0819 0.0000 0.0000
-3.5410 6.1331 0.0000
0.0000 0.0000 4.6952

=====

! PBE-GGA Al4Pt5, relaxed; values from VASP
! * calculated volume: 15.24 Å³ per atom
! * formation energy from the elements: -727 meV per atom
&SYSTEM
  ibrav = 0, nat = 9, ntyp = 2
/
ATOMIC_SPECIES
Al 26.98 Al.upf
Pt 195.08 Pt.upf
ATOMIC_POSITIONS crystal
Al 0.0000 0.3157 0.3157
Al 0.0000 0.6843 0.6843
Al 0.3157 0.0000 0.3157
Al 0.6843 0.0000 0.6843
Pt 0.0000 0.0000 0.0000
Pt 0.3289 0.3289 0.6577
Pt 0.3289 0.6711 0.0000
Pt 0.6711 0.3289 0.0000
Pt 0.6711 0.6711 0.3423
CELL_PARAMETERS angstrom
-4.1367 4.1367 2.0044
4.1367 -4.1367 2.0044
4.1367 4.1367 -2.0044

=====

! PBE-GGA Al4Pt, relaxed; values from VASP
! * calculated volume: 17.32 Å³ per atom
! * formation energy from the elements: 41 meV per atom
! * offset from the most stable computed form: 504 meV per atom
&SYSTEM
  ibrav = 0, nat = 5, ntyp = 2
/
ATOMIC_SPECIES
Al 26.98 Al.upf
Pt 195.08 Pt.upf
ATOMIC_POSITIONS crystal
Al 0.0945 0.0945 0.0000
Al 0.2500 0.7500 0.5000
Al 0.7500 0.2500 0.5000
Al 0.9055 0.9055 0.0000
Pt 0.5000 0.5000 0.0000
CELL_PARAMETERS angstrom
-1.7999 1.7999 6.6840
1.7999 -1.7999 6.6840
1.7999 1.7999 -6.6840

=====

! PBE-GGA Al6Pt7, relaxed; values from VASP
! * calculated volume: 17.48 Å³ per atom
! * formation energy from the elements: -636 meV per atom
&SYSTEM
  ibrav = 0, nat = 13, ntyp = 2
/
ATOMIC_SPECIES
Al 26.98 Al.upf
Pt 195.08 Pt.upf
ATOMIC_POSITIONS crystal
Al 0.0802 0.0802 0.0802
Al 0.1833 0.1833 0.1833
Al 0.3316 0.3316 0.3316
Al 0.6684 0.6684 0.6684
Al 0.8167 0.8167 0.8167
Al 0.9198 0.9198 0.9198
Pt 0.0780 0.5720 0.5720
Pt 0.4280 0.4280 0.9220
Pt 0.4280 0.9220 0.4280
Pt 0.5000 0.5000 0.5000
Pt 0.5720 0.0780 0.5720
Pt 0.5720 0.5720 0.0780
Pt 0.9220 0.4280 0.4280
CELL_PARAMETERS angstrom
2.6763 1.5452 9.1583
-2.6763 1.5452 9.1583
0.0000 -3.0903 9.1583

=====

! PBE-GGA AlPt3, relaxed; values from VASP
! * calculated volume: 15.29 Å³ per atom
! * formation energy from the elements: -550 meV per atom
&SYSTEM
  ibrav = 0, nat = 4, ntyp = 2
/
ATOMIC_SPECIES
Al 26.98 Al.upf
Pt 195.08 Pt.upf
ATOMIC_POSITIONS crystal
Al 0.0000 0.0000 0.0000
Pt 0.0000 0.5000 0.3599
Pt 0.5000 0.0000 0.4912
Pt 0.5000 0.5000 0.8594
CELL_PARAMETERS angstrom
2.8986 0.0000 0.0000
0.0000 4.4981 0.0000
0.0000 0.0000 4.6896

=====

! PBE-GGA Al5Pt, relaxed; values from VASP
! * calculated volume: 17.40 Å³ per atom
! * formation energy from the elements: 180 meV per atom
&SYSTEM
  ibrav = 0, nat = 6, ntyp = 2
/
ATOMIC_SPECIES
Al 26.98 Al.upf
Pt 195.08 Pt.upf
ATOMIC_POSITIONS crystal
Al 0.0000 0.5000 0.0000
Al 0.3333 0.6667 0.5000
Al 0.5000 0.0000 0.0000
Al 0.5000 0.5000 0.0000
Al 0.6667 0.3333 0.5000
Pt 0.0000 0.0000 0.5000
CELL_PARAMETERS angstrom
5.0850 0.0000 0.0000
-2.5425 4.4037 0.0000
0.0000 0.0000 4.6621

=====

! PBE-GGA Al5Pt4, relaxed; values from VASP
! * calculated volume: 15.19 Å³ per atom
! * formation energy from the elements: -849 meV per atom
&SYSTEM
  ibrav = 0, nat = 18, ntyp = 2
/
ATOMIC_SPECIES
Al 26.98 Al.upf
Pt 195.08 Pt.upf
ATOMIC_POSITIONS crystal
Al 0.0000 0.2889 0.2500
Al 0.0000 0.7111 0.7500
Al 0.2889 0.0000 0.2500
Al 0.2889 0.2889 0.7500
Al 0.3333 0.6667 0.0000
Al 0.3333 0.6667 0.5000
Al 0.6667 0.3333 0.0000
Al 0.6667 0.3333 0.5000
Al 0.7111 0.0000 0.7500
Al 0.7111 0.7111 0.2500
Pt 0.0000 0.0000 0.0000
Pt 0.0000 0.0000 0.5000
Pt 0.0000 0.3878 0.7500
Pt 0.0000 0.6122 0.2500
Pt 0.3878 0.0000 0.7500
Pt 0.3878 0.3878 0.2500
Pt 0.6122 0.0000 0.2500
Pt 0.6122 0.6122 0.7500
CELL_PARAMETERS angstrom
7.6683 0.0000 0.0000
-3.8342 6.6410 0.0000
0.0000 0.0000 5.3693

=====

! PBE-GGA Al3Pt5, relaxed; values from VASP
! * calculated volume: 15.25 Å³ per atom
! * formation energy from the elements: -781 meV per atom
&SYSTEM
  ibrav = 0, nat = 16, ntyp = 2
/
ATOMIC_SPECIES
Al 26.98 Al.upf
Pt 195.08 Pt.upf
ATOMIC_POSITIONS crystal
Al 0.0000 0.4011 0.2500
Al 0.0000 0.5989 0.7500
Al 0.4011 0.0000 0.2500
Al 0.4011 0.4011 0.7500
Al 0.5989 0.0000 0.7500
Al 0.5989 0.5989 0.2500
Pt 0.0000 0.2349 0.7500
Pt 0.0000 0.7651 0.2500
Pt 0.2349 0.0000 0.7500
Pt 0.2349 0.2349 0.2500
Pt 0.3333 0.6667 0.0000
Pt 0.3333 0.6667 0.5000
Pt 0.6667 0.3333 0.0000
Pt 0.6667 0.3333 0.5000
Pt 0.7651 0.0000 0.2500
Pt 0.7651 0.7651 0.7500
CELL_PARAMETERS angstrom
7.2844 0.0000 0.0000
-3.6422 6.3085 0.0000
0.0000 0.0000 5.3090

=====

! PBE-GGA Al5Pt, relaxed; values from VASP
! * calculated volume: 15.83 Å³ per atom
! * formation energy from the elements: -274 meV per atom
&SYSTEM
  ibrav = 0, nat = 6, ntyp = 2
/
ATOMIC_SPECIES
Al 26.98 Al.upf
Pt 195.08 Pt.upf
ATOMIC_POSITIONS crystal
Al 0.0000 0.6738 0.0000
Al 0.3262 0.3262 0.0000
Al 0.3333 0.6667 0.5000
Al 0.6667 0.3333 0.5000
Al 0.6738 0.0000 0.0000
Pt 0.0000 0.0000 0.5000
CELL_PARAMETERS angstrom
4.9589 0.0000 0.0000
-2.4794 4.2945 0.0000
0.0000 0.0000 4.4607

=====

! PBE-GGA AlPt3, relaxed; values from VASP
! * calculated volume: 15.09 Å³ per atom
! * formation energy from the elements: -721 meV per atom
&SYSTEM
  ibrav = 0, nat = 16, ntyp = 2
/
ATOMIC_SPECIES
Al 26.98 Al.upf
Pt 195.08 Pt.upf
ATOMIC_POSITIONS crystal
Al 0.0000 0.5000 0.2357
Al 0.0000 0.5000 0.7643
Al 0.5000 0.0000 0.2357
Al 0.5000 0.0000 0.7643
Pt 0.0000 0.0000 0.2540
Pt 0.0000 0.0000 0.7460
Pt 0.1879 0.3121 0.5000
Pt 0.2377 0.7377 0.0000
Pt 0.2623 0.2377 0.0000
Pt 0.3121 0.8121 0.5000
Pt 0.5000 0.5000 0.2540
Pt 0.5000 0.5000 0.7460
Pt 0.6879 0.1879 0.5000
Pt 0.7377 0.7623 0.0000
Pt 0.7623 0.2623 0.0000
Pt 0.8121 0.6879 0.5000
CELL_PARAMETERS angstrom
5.5113 0.0000 0.0000
0.0000 5.5113 0.0000
0.0000 0.0000 7.9502

=====

! PBE-GGA AlPt3, relaxed; values from VASP
! * calculated volume: 15.26 Å³ per atom
! * formation energy from the elements: -599 meV per atom
&SYSTEM
  ibrav = 0, nat = 4, ntyp = 2
/
ATOMIC_SPECIES
Al 26.98 Al.upf
Pt 195.08 Pt.upf
ATOMIC_POSITIONS crystal
Al 0.0000 0.0000 0.0000
Pt 0.0000 0.5000 0.5000
Pt 0.5000 0.0000 0.5000
Pt 0.5000 0.5000 0.0000
CELL_PARAMETERS angstrom
2.7565 -3.7227 0.0000
2.7565 3.7227 0.0000
0.0000 0.0000 2.9736

=====

! PBE-GGA AlPt, relaxed; values from VASP
! * calculated volume: 14.79 Å³ per atom
! * formation energy from the elements: -928 meV per atom
&SYSTEM
  ibrav = 0, nat = 4, ntyp = 2
/
ATOMIC_SPECIES
Al 26.98 Al.upf
Pt 195.08 Pt.upf
ATOMIC_POSITIONS crystal
Al 0.3743 0.1243 0.2500
Al 0.6257 0.8757 0.7500
Pt 0.1258 0.3758 0.7500
Pt 0.8742 0.6242 0.2500
CELL_PARAMETERS angstrom
-1.8432 1.8726 4.2860
1.8432 -1.8726 4.2860
1.8432 1.8726 -4.2860